Model P:
This record from Alexandria describes an optimized crystal structure of V3Pb2O9. The functional is PBE+U.

The structure in POSCAR format:
```
V3Pb2O9
1.0
7.528 0.000 0.000
1.906 8.915 0.000
0.596 4.275 11.946
V Pb O
12 8 36
Direct
0.083 0.484 0.178
0.199 0.635 0.545
0.218 0.757 0.252
0.277 0.256 0.752
0.302 0.865 0.955
0.412 0.015 0.323
0.588 0.985 0.677
0.698 0.135 0.045
0.723 0.744 0.248
0.782 0.243 0.748
0.801 0.365 0.455
0.917 0.516 0.822
0.090 0.929 0.666
0.178 0.217 0.045
0.317 0.282 0.457
0.429 0.561 0.833
0.571 0.439 0.167
0.683 0.718 0.543
0.822 0.783 0.955
0.910 0.071 0.334
0.012 0.201 0.730
0.013 0.242 0.476
0.057 0.293 0.241
0.138 0.388 0.840
0.175 0.492 0.051
0.193 0.811 0.860
0.196 0.430 0.603
0.196 0.831 0.084
0.240 0.529 0.259
0.260 0.972 0.239
0.301 0.670 0.415
0.302 0.071 0.896
0.313 0.686 0.640
0.323 0.005 0.451
0.366 0.113 0.661
0.440 0.206 0.262
0.482 0.304 0.765
0.483 0.254 0.023
0.517 0.746 0.977
0.518 0.696 0.235
0.560 0.794 0.738
0.634 0.887 0.339
0.677 0.995 0.549
0.687 0.314 0.360
0.698 0.929 0.104
0.699 0.330 0.585
0.740 0.028 0.761
0.760 0.471 0.741
0.804 0.169 0.916
0.804 0.570 0.397
0.807 0.189 0.140
0.825 0.508 0.949
0.862 0.612 0.160
0.943 0.707 0.759
0.987 0.758 0.524
0.988 0.799 0.270
```

theoretical density = 5.9 g/cm³

---

Model Q:
This record from Alexandria describes an optimized crystal structure of V3Pb2O9. The functional is PBE+U.

The structure in POSCAR format:
```
V3Pb2O9
1.0
4.234 -7.009 0.000
4.234 7.009 0.000
-3.452 0.000 6.969
V Pb O
6 4 18
Direct
0.052 0.273 0.199
0.182 0.182 0.854
0.273 0.052 0.199
0.727 0.948 0.801
0.818 0.818 0.146
0.948 0.727 0.801
0.267 0.596 0.724
0.404 0.733 0.276
0.596 0.267 0.724
0.733 0.404 0.276
0.089 0.907 0.280
0.093 0.911 0.720
0.115 0.506 0.357
0.190 0.382 0.036
0.192 0.808 0.000
0.278 0.278 0.314
0.311 0.311 0.734
0.382 0.190 0.036
0.494 0.885 0.643
0.506 0.115 0.357
0.618 0.810 0.964
0.689 0.689 0.266
0.722 0.722 0.686
0.808 0.192 0.000
0.810 0.618 0.964
0.885 0.494 0.643
0.907 0.089 0.280
0.911 0.093 0.720
```

theoretical density = 5.7 g/cm³

---

Energy above the most stable structure, in meV per atom: model P 0; model Q 166